# Pt5Au

A relaxed structure of Pt5Au (PBE, Alexandria via LeMat-Bulk).

## Properties
Raw total energy, eV per atom: -5.318
Formation energy from the elements, eV per atom: 0.26
Fermi-level density of states, states/eV/atom: 1.408
Excess energy over the best structure of this formula in the dataset, meV per atom: 251.0
Crystal system: cubic

Structure (CIF):
```
data_Pt5Au
_chemical_formula_sum 'Pt20 Au4'
_cell_length_a 7.4322
_cell_length_b 7.4322
_cell_length_c 7.4322
_cell_angle_alpha 90.00
_cell_angle_beta 90.00
_cell_angle_gamma 90.00
_symmetry_space_group_name_H-M 'F -4 3 m'
_symmetry_Int_Tables_number 216
_symmetry_space_group_name_Hall 'F -4 2 3'
loop_
_atom_site_label
_atom_site_type_symbol
_atom_site_fract_x
_atom_site_fract_y
_atom_site_fract_z
_atom_site_occupancy
Pt1 Pt 0.0000 0.0000 0.0000 1
Pt2 Pt 0.1252 0.1252 0.3748 1
Au1 Au 0.2500 0.2500 0.7500 1
```